The following is a DFT calculation (PBE) of Pm3Si2Ir after structural relaxation.

```
Pm3Si2Ir
1.0
7.308 0.350 0.273
2.693 6.803 0.273
2.693 1.926 6.530
Ir Si Pm
2 4 6
direct
0.000 0.000 0.000 Ir
0.500 0.500 0.500 Ir
0.354 0.354 0.354 Si
0.854 0.854 0.854 Si
0.146 0.146 0.146 Si
0.646 0.646 0.646 Si
0.562 0.938 0.250 Pm
0.062 0.750 0.438 Pm
0.938 0.250 0.562 Pm
0.250 0.562 0.938 Pm
0.750 0.438 0.062 Pm
0.438 0.062 0.750 Pm
```

Output
- E_form (uncorrected) (eV/atom) = -0.6123
- space group = No. 167
- Fermi-level density of states (states/eV/atom) = 0.65
- raw total energy (eV per cell) = -75.27